Entry 1:
Below is an optimized crystal structure of Cd2FeCo, with properties calculated at the PBE level.

abc: 5.7709 5.7709 5.7709
angles: 102.60 102.60 124.32
Closest atoms and distances in Å follow each position.
Atoms (fractional coordinates):
1 Cd 0.1177 0.6250 0.9927  2 Co 2.60, 2 Fe 2.68, 2 Cd 2.70
2 Cd 0.3750 0.3677 0.4927  2 Co 2.60, 2 Fe 2.68, 2 Cd 2.70
3 Cd 0.6323 0.1250 0.0073  2 Co 2.60, 2 Fe 2.68, 2 Cd 2.70
4 Cd 0.8750 0.8823 0.5073  2 Co 2.60, 2 Fe 2.68, 2 Cd 2.70
5 Fe 0.2500 0.7500 0.5000  4 Cd 2.68, 2 Co 2.69
6 Fe 0.5000 0.5000 0.0000  4 Cd 2.68, 2 Co 2.69
7 Co 0.0000 0.0000 0.0000  4 Cd 2.60, 2 Fe 2.69
8 Co 0.7500 0.2500 0.5000  4 Cd 2.60, 2 Fe 2.69

Results
The symmetry is I-42d, No. 122. For the calculated total energy, the calculation gives -3.651 eV/atom.


Entry 2:
Below is an optimized crystal structure of CdFe2Co, with properties calculated at the PBE level.

abc: 2.7921 2.7921 7.0614
angles: 90.00 90.00 90.00
Closest atoms and distances in Å follow each position.
Atoms (fractional coordinates):
1 Cd 0.0000 0.0000 0.0000  4 Cd 2.79, 8 Fe 2.86
2 Fe 0.5000 0.5000 0.2939  4 Co 2.45
3 Fe 0.5000 0.5000 0.7061  4 Co 2.45
4 Co 0.0000 0.0000 0.5000  8 Fe 2.45

Results
The symmetry is P4/mmm, No. 123. For the calculated total energy, the calculation gives -6.051 eV/atom.


Entry 3:
Below is an optimized crystal structure of CdFe4Co, with properties calculated at the PBE level.

abc: 4.7979 4.7979 4.7979
angles: 60.00 60.00 60.00
Closest atoms and distances in Å follow each position.
Atoms (fractional coordinates):
1 Cd 0.0000 0.0000 0.0000  12 Fe 2.81, 4 Co 2.94
2 Fe 0.3751 0.3751 0.3751  6 Fe 2.40
3 Fe 0.3751 0.3751 0.8746  6 Fe 2.40
4 Fe 0.3751 0.8746 0.3751  6 Fe 2.40
5 Fe 0.8746 0.3751 0.3751  6 Fe 2.40
6 Co 0.7500 0.7500 0.7500  12 Fe 2.81, 4 Cd 2.94

Results
The symmetry is F-43m, No. 216. For the calculated total energy, the calculation gives -6.738 eV/atom.


Entry 4:
Below is an optimized crystal structure of Cd2FeCo2, with properties calculated at the PBE level.

abc: 6.0332 6.0332 4.2369
angles: 90.00 90.00 90.00
Closest atoms and distances in Å follow each position.
Atoms (fractional coordinates):
1 Cd 0.1754 0.3246 0.0000  6 Co 2.68-2.83, 1 Cd 2.99
2 Cd 0.3246 0.8246 0.0000  6 Co 2.68-2.83, 1 Cd 2.99
3 Cd 0.6754 0.1754 0.0000  6 Co 2.68-2.83, 1 Cd 2.99
4 Cd 0.8246 0.6754 0.0000  6 Co 2.68-2.83, 1 Cd 2.99
5 Fe 0.0000 0.0000 0.5000  4 Co 2.36
6 Fe 0.5000 0.5000 0.5000  4 Co 2.36
7 Co 0.1313 0.6313 0.5000  1 Co 2.24, 2 Fe 2.36
8 Co 0.3687 0.1313 0.5000  1 Co 2.24, 2 Fe 2.36
9 Co 0.6313 0.8687 0.5000  1 Co 2.24, 2 Fe 2.36
10 Co 0.8687 0.3687 0.5000  1 Co 2.24, 2 Fe 2.36

Results
The energy above the most stable polymorph in this dataset comes out at 0.00 eV/f.u. The symmetry is P4/mbm, No. 127. For the calculated total energy, the calculation gives -4.595 eV/atom.


Entry 5:
Below is an optimized crystal structure of CdFe2Co, with properties calculated at the PBE level.

abc: 8.8252 8.8252 8.8252
angles: 17.70 17.70 17.70
Closest atoms and distances in Å follow each position.
Atoms (fractional coordinates):
1 Cd 0.0000 0.0000 0.0000  6 Cd 2.72, 6 Fe 2.89
2 Fe 0.2401 0.2401 0.2401  3 Co 2.47, 6 Fe 2.72
3 Fe 0.7599 0.7599 0.7599  3 Co 2.47, 6 Fe 2.72
4 Co 0.5000 0.5000 0.5000  6 Fe 2.47, 6 Co 2.72

Results
The symmetry is R-3m, No. 166. For the calculated total energy, the calculation gives -5.935 eV/atom.


Entry 6:
Below is an optimized crystal structure of CdFeCo, with properties calculated at the PBE level.

abc: 6.7820 6.6025 2.6931
angles: 82.16 74.67 23.17
Closest atoms and distances in Å follow each position.
Atoms (fractional coordinates):
1 Cd 0.0000 0.0000 0.0000  4 Cd 2.69, 2 Co 2.79, 2 Fe 2.83
2 Fe 0.6841 0.6841 0.3159  2 Co 2.34
3 Co 0.3200 0.3200 0.6800  2 Fe 2.34

Results
The energy above the most stable polymorph in this dataset comes out at 0.72 eV/f.u. The symmetry is Fmm2, No. 42. For the calculated total energy, the calculation gives -5.187 eV/atom.


| no. | size of the total moment (μB/f.u.) | energy relative to the elements (eV per atom) |
| --- | --- | --- |
| 1 | 4.1 | 0.70 |
| 2 | 6.9 | 0.19 |
| 3 | 10.5 | 0.24 |
| 4 | 5.0 | 0.31 |
| 5 | 6.8 | 0.30 |
| 6 | 4.3 | 0.31 |